[1]
Entry from Alexandria: a relaxed structure of NaCoPO4 (GGA-PBEsol).

The value obtained for the magnetic moment is 12.0 Bohr magnetons per cell. For the energy above the most stable polymorph in this dataset, the calculation gives 17 meV per atom. The uncorrected formation energy is -40.8 kcal/mol of atoms. As for the volume: 10.656 A^3/atom.

a b c (Å): 8.8365 6.7621 4.9934
angles (deg): 90.00 90.00 90.00
Space group Pnma (No. 62)
Symmetry-distinct sites (fractional):
Na1 0.1486 0.2500 0.0309 [4 per cell]
Co1 0.0000 0.0000 0.5000 [4 per cell]
P1 0.1763 0.7500 0.0377 [4 per cell]
O1 0.1146 0.7500 0.7461 [4 per cell]
O2 0.1207 0.5635 0.1858 [8 per cell]
O3 0.1461 0.2500 0.5497 [4 per cell]

---

[2]
Entry from Alexandria: a relaxed structure of Na2AgS2 (GGA-PBEsol).

The value obtained for the magnetic moment is 0.0 Bohr magnetons per cell. The uncorrected formation energy is -13.6 kcal/mol of atoms. As for the volume: 19.257 A^3/atom.

a b c (Å): 6.8681 6.8681 4.0825
angles (deg): 90.00 90.00 90.00
Space group P4/mbm (No. 127)
Symmetry-distinct sites (fractional):
Na1 0.1430 0.3570 0.0000 [4 per cell]
Ag1 0.0000 0.0000 0.5000 [2 per cell]
S1 0.1693 0.6693 0.5000 [4 per cell]

---

[3]
Entry from Alexandria: a relaxed structure of FeClO (GGA-PBEsol).

The value obtained for the magnetic moment is 7.7 Bohr magnetons per cell. The uncorrected formation energy is -20.7 kcal/mol of atoms. As for the volume: 15.765 A^3/atom.

a b c (Å): 3.2112 3.7314 7.8940
angles (deg): 90.00 90.00 90.00
Space group Pmmn (No. 59, origin choice 2)
Symmetry-distinct sites (fractional):
Fe1 0.2500 0.2500 0.1065 [2 per cell]
Cl1 0.2500 0.7500 0.6815 [2 per cell]
O1 0.2500 0.7500 0.0691 [2 per cell]

---

[4]
Entry from Alexandria: a relaxed structure of Al2Os2S (GGA-PBEsol).

The value obtained for the magnetic moment is 0.0 Bohr magnetons per cell. The uncorrected formation energy is 9.4 kcal/mol of atoms. As for the volume: 14.957 A^3/atom.

a b c (Å): 3.4141 3.4141 12.8320
angles (deg): 90.00 90.00 90.00
Space group I4/mmm (No. 139)
Symmetry-distinct sites (fractional):
Al1 0.0000 0.5000 0.2500 [4 per cell]
Os1 0.0000 0.0000 0.1050 [4 per cell]
S1 0.0000 0.0000 0.5000 [2 per cell]

---

[5]
Entry from Alexandria: a relaxed structure of Li9Mn2Co5O16 (GGA-PBEsol).

The value obtained for the magnetic moment is 5.9 Bohr magnetons per cell. For the energy above the most stable polymorph in this dataset, the calculation gives 0 meV per atom. The uncorrected formation energy is -38.9 kcal/mol of atoms. As for the volume: 7.945 A^3/atom.

a b c (Å): 4.8614 5.6714 9.7681
angles (deg): 89.29 80.45 73.33
Space group P1 (No. 1)
Symmetry-distinct sites (fractional):
Li1 0.0000 0.0000 0.0000 [1 per cell]
Li2 0.9996 0.0016 0.5064 [1 per cell]
Li3 0.0101 0.5020 0.5090 [1 per cell]
Li4 0.4871 0.6347 0.3848 [1 per cell]
Li5 0.4970 0.1305 0.8783 [1 per cell]
Li6 0.5031 0.8722 0.1297 [1 per cell]
Li7 0.5106 0.3722 0.6248 [1 per cell]
Li8 0.9930 0.2502 0.7470 [1 per cell]
Li9 0.9951 0.7557 0.2642 [1 per cell]
Mn1 0.5000 0.8817 0.6258 [1 per cell]
Mn2 0.9990 0.2476 0.2589 [1 per cell]
Co1 0.9998 0.5025 0.0039 [1 per cell]
Co2 0.9998 0.7546 0.7535 [1 per cell]
Co3 0.4995 0.1254 0.3806 [1 per cell]
Co4 0.4995 0.3770 0.1293 [1 per cell]
Co5 0.4994 0.6282 0.8789 [1 per cell]
O1 0.2364 0.4699 0.8268 [1 per cell]
O2 0.2393 0.2125 0.0732 [1 per cell]
O3 0.2487 0.9616 0.3135 [1 per cell]
O4 0.2543 0.7000 0.5809 [1 per cell]
O5 0.2565 0.9188 0.8096 [1 per cell]
O6 0.2584 0.4163 0.3091 [1 per cell]
O7 0.2623 0.6609 0.0574 [1 per cell]
O8 0.2763 0.1740 0.5624 [1 per cell]
O9 0.7234 0.8296 0.4483 [1 per cell]
O10 0.7364 0.3430 0.9519 [1 per cell]
O11 0.7405 0.0862 0.1992 [1 per cell]
O12 0.7434 0.5886 0.7000 [1 per cell]
O13 0.7446 0.0433 0.6946 [1 per cell]
O14 0.7510 0.3057 0.4275 [1 per cell]
O15 0.7615 0.5409 0.1827 [1 per cell]
O16 0.7616 0.7883 0.9332 [1 per cell]

---

[6]
Entry from Alexandria: a relaxed structure of Sr3Mo (GGA-PBEsol).

The value obtained for the magnetic moment is 3.2 Bohr magnetons per cell. For the energy above the most stable polymorph in this dataset, the calculation gives 0 meV per atom. As for the volume: 36.046 A^3/atom.

a b c (Å): 5.2437 5.2437 5.2437
angles (deg): 90.00 90.00 90.00
Space group Pm-3m (No. 221)
Symmetry-distinct sites (fractional):
Sr1 0.0000 0.0000 0.5000 [3 per cell]
Mo1 0.5000 0.5000 0.5000 [1 per cell]

---

[7]
Entry from Alexandria: a relaxed structure of LiCuRu2 (GGA-PBEsol).

The value obtained for the magnetic moment is 0.0 Bohr magnetons per cell. For the energy above the most stable polymorph in this dataset, the calculation gives 35 meV per atom. As for the volume: 12.379 A^3/atom.

a b c (Å): 5.8291 5.8291 5.8291
angles (deg): 90.00 90.00 90.00
Space group F-43m (No. 216)
Symmetry-distinct sites (fractional):
Li1 0.0000 0.0000 0.0000 [4 per cell]
Cu1 0.2500 0.2500 0.7500 [4 per cell]
Ru1 0.0000 0.0000 0.5000 [4 per cell]
Ru2 0.2500 0.2500 0.2500 [4 per cell]

---

[8]
Entry from Alexandria: a relaxed structure of CaTaMoPd2 (GGA-PBEsol).

As for the total DFT energy (no corrections): -29.8 eV for the cell shown. The value obtained for the magnetic moment is 0.0 Bohr magnetons per cell. As for the volume: 19.191 A^3/atom.

a b c (Å): 4.5277 4.5277 4.6807
angles (deg): 90.00 90.00 90.00
Space group P4/mmm (No. 123)
Symmetry-distinct sites (fractional):
Ca1 0.0000 0.0000 0.0000 [1 per cell]
Ta1 0.5000 0.5000 0.5000 [1 per cell]
Mo1 0.0000 0.0000 0.5000 [1 per cell]
Pd1 0.0000 0.5000 0.0000 [2 per cell]